Below is an optimized crystal structure of B7C5, with properties calculated at the PBE-GGA level.

Unit cell a=4.4464 b=4.5269 c=4.8023 alpha=105.36 beta=90.50 gamma=119.18
Last column: nearest neighbours and their distance in Å.
Element x y z (fractional)
B  0.0000  0.0000  0.0000  2 C 1.61-1.62, 1 B 1.70
B  0.0145  0.3879  0.5723  1 C 1.62, 2 B 1.78-1.80
B  0.0297  0.9719  0.4418  1 C 1.64, 1 B 1.83
B  0.2835  0.9552  0.7341  1 C 1.66, 3 B 1.83-1.85
B  0.3405  0.0156  0.1806  1 C 1.62, 2 B 1.70-1.79
B  0.7217  0.3617  0.8333  2 C 1.62-1.65, 1 B 1.80
B  0.7598  0.4135  0.3018  2 C 1.66-1.67, 2 B 1.78-1.79
C  0.0128  0.3737  0.0593  1 C 1.56, 3 B 1.61-1.66
C  0.4015  0.6816  0.1331  3 C 1.48-1.56, 1 B 1.62
C  0.4296  0.6737  0.6411  2 C 1.47, 1 B 1.62
C  0.6074  0.6930  0.3844  2 C 1.47-1.48, 1 B 1.64
C  0.6081  0.6592  0.8912  2 C 1.47-1.50, 2 B 1.62

Properties
Energy relative to the lowest polymorph listed for this composition (meV/atom): 257
Mass density (g/cm³): 2.807
DOS(E_F) (states/eV per cell): 1.39

---

Below is an optimized crystal structure of BC, with properties calculated at the PBE-GGA level.

Unit cell a=9.2923 b=9.2923 c=9.2923 alpha=16.05 beta=16.05 gamma=16.05
Last column: nearest neighbours and their distance in Å.
Element x y z (fractional)
B  0.0979  0.0979  0.0979  4 C 1.63-1.68
B  0.3517  0.3517  0.3517  1 C 1.56
B  0.6483  0.6483  0.6483  1 C 1.56
B  0.9021  0.9021  0.9021  4 C 1.63-1.68
C  0.1591  0.1591  0.1591  3 C 1.56, 1 B 1.68
C  0.4082  0.4082  0.4082  4 B 1.56-1.63
C  0.5918  0.5918  0.5918  4 B 1.56-1.63
C  0.8409  0.8409  0.8409  3 C 1.56, 1 B 1.68

Properties
Energy relative to the lowest polymorph listed for this composition (meV/atom): 227
Mass density (g/cm³): 2.834
DOS(E_F) (states/eV per cell): 2.10

---

Below is an optimized crystal structure of BC11, with properties calculated at the PBE-GGA level.

Unit cell a=4.4223 b=4.4223 c=7.2476 alpha=114.19 beta=114.19 gamma=33.27
Last column: nearest neighbours and their distance in Å.
Element x y z (fractional)
B  0.0000  0.0000  0.0000  4 C 1.59-1.64
C  0.0013  0.0013  0.4945  4 C 1.55-1.57
C  0.1694  0.1694  0.7020  4 C 1.56-1.57
C  0.1706  0.1706  0.2115  3 C 1.54-1.55, 1 B 1.59
C  0.3319  0.3319  0.1630  4 C 1.54-1.57
C  0.3347  0.3347  0.6592  4 C 1.52-1.56
C  0.4998  0.4998  0.8570  2 C 1.52, 2 B 1.64
C  0.5015  0.5015  0.3705  4 C 1.55-1.57
C  0.6668  0.6668  0.8265  4 C 1.52-1.56
C  0.6691  0.6691  0.3309  4 C 1.54-1.56
C  0.8275  0.8275  0.0388  3 C 1.54-1.56, 1 B 1.60
C  0.8349  0.8349  0.5357  4 C 1.55-1.56

Properties
Energy relative to the lowest polymorph listed for this composition (meV/atom): 18
Mass density (g/cm³): 3.376
DOS(E_F) (states/eV per cell): 1.51

---

Below is an optimized crystal structure of B7C5, with properties calculated at the PBE-GGA level.

Unit cell a=8.7419 b=8.7419 c=4.7019 alpha=99.85 beta=99.85 gamma=17.72
Last column: nearest neighbours and their distance in Å.
Element x y z (fractional)
B  0.0000  0.0000  0.0000  3 C 1.58
B  0.2670  0.2670  0.1858  1 C 1.63, 2 B 1.75
B  0.3891  0.3891  0.0369  2 C 1.66-1.72, 2 B 1.77
B  0.5013  0.5013  0.4943  3 C 1.56-1.57
B  0.7296  0.7296  0.9671  1 C 1.50, 1 B 1.62
B  0.8241  0.8241  0.0565  3 B 1.62-1.77
B  0.9086  0.9086  0.6342  3 C 1.56-1.57
C  0.0004  0.0004  0.6649  4 B 1.57-1.58
C  0.2745  0.2745  0.5372  3 C 1.57, 1 B 1.63
C  0.3648  0.3648  0.6656  3 B 1.56-1.72, 1 C 1.57
C  0.4851  0.4851  0.1571  4 B 1.56-1.66
C  0.7502  0.7502  0.6694  1 B 1.50, 2 C 1.57

Properties
Energy relative to the lowest polymorph listed for this composition (meV/atom): 210
Mass density (g/cm³): 2.093
DOS(E_F) (states/eV per cell): 0.89